Density functional theory data (PBEsol) for a relaxed structure of Cs3Se2O8.

a = 6.298 Å, b = 6.298 Å, c = 8.507 Å
α = 111.77°, β = 111.77°, γ = 60.02°
Atoms (fractional coordinates):
Cs (0.000, 0.000, 0.000)
Cs (0.204, 0.204, 0.613)
Cs (0.796, 0.796, 0.387)
Se (0.410, 0.410, 0.229)
Se (0.590, 0.590, 0.771)
O (0.278, 0.712, 0.702)
O (0.288, 0.288, 0.299)
O (0.288, 0.722, 0.298)
O (0.337, 0.337, 0.012)
O (0.663, 0.663, 0.988)
O (0.712, 0.278, 0.702)
O (0.712, 0.712, 0.701)
O (0.722, 0.288, 0.298)

Values from the calculation:
DOS(E_F): 14.83 states/eV/cell
Formation energy from raw total energies: -113.06 kJ/mol of atoms
Calculated volume: 264 Å³ per cell
Raw total energy: -5.212 eV per atom
SG: C2/m, No. 12
Total magnetization: 1.15 μB per cell